Record 1
The following is a DFT calculation (GGA-PBE) of an optimized crystal structure of Rb3ZrAl.

Output
The energy comes out at -8.88 eV per formula unit. Its crystal system is cubic. For the formation energy, the calculation gives 1262 meV per atom.

```
data_Rb3ZrAl
_chemical_formula_sum 'Rb3 Zr1 Al1'
_space_group_name_H-M_alt 'P 1'
_space_group_IT_number 1
_cell_length_a 6.8441
_cell_length_b 6.8441
_cell_length_c 6.8441
_cell_angle_alpha 90.00
_cell_angle_beta 90.00
_cell_angle_gamma 90.00
loop_
_space_group_symop_operation_xyz
'x,y,z'
loop_
_atom_site_label
_atom_site_type_symbol
_atom_site_fract_x
_atom_site_fract_y
_atom_site_fract_z
Rb1 Rb 0.0000 0.0000 0.5000
Rb2 Rb 0.0000 0.5000 0.0000
Rb3 Rb 0.5000 0.0000 0.0000
Zr1 Zr 0.5000 0.5000 0.5000
Al1 Al 0.0000 0.0000 0.0000
```

---

Record 2
The following is a DFT calculation (GGA-PBE) of an optimized crystal structure of Ac5HoZn4.

Output
The energy comes out at -32.01 eV per formula unit. Its crystal system is tetragonal. For the formation energy, the calculation gives -179 meV per atom.

```
data_Ac5HoZn4
_chemical_formula_sum 'Ac5 Ho1 Zn4'
_space_group_name_H-M_alt 'P 1'
_space_group_IT_number 1
_cell_length_a 3.9076
_cell_length_b 3.9076
_cell_length_c 20.7281
_cell_angle_alpha 90.00
_cell_angle_beta 90.00
_cell_angle_gamma 90.00
loop_
_space_group_symop_operation_xyz
'x,y,z'
loop_
_atom_site_label
_atom_site_type_symbol
_atom_site_fract_x
_atom_site_fract_y
_atom_site_fract_z
Ac1 Ac 0.0000 0.0000 0.0000
Ac2 Ac 0.0000 0.0000 0.1886
Ac3 Ac 0.0000 0.0000 0.3763
Ac4 Ac 0.0000 0.0000 0.6237
Ac5 Ac 0.0000 0.0000 0.8114
Ho1 Ho 0.5000 0.5000 0.5000
Zn1 Zn 0.5000 0.5000 0.0939
Zn2 Zn 0.5000 0.5000 0.2841
Zn3 Zn 0.5000 0.5000 0.7159
Zn4 Zn 0.5000 0.5000 0.9061
```

---

Record 3
The following is a DFT calculation (GGA-PBE) of an optimized crystal structure of CaReN3.

Output
The energy comes out at -41.22 eV per formula unit. Its crystal system is monoclinic.

```
data_CaReN3
_chemical_formula_sum 'Ca4 Re4 N12'
_space_group_name_H-M_alt 'P 1'
_space_group_IT_number 1
_cell_length_a 7.5938
_cell_length_b 7.5938
_cell_length_c 4.9499
_cell_angle_alpha 90.04
_cell_angle_beta 90.04
_cell_angle_gamma 92.87
loop_
_space_group_symop_operation_xyz
'x,y,z'
loop_
_atom_site_label
_atom_site_type_symbol
_atom_site_fract_x
_atom_site_fract_y
_atom_site_fract_z
Ca1 Ca 0.1188 0.3333 0.1729
Ca2 Ca 0.3333 0.1188 0.6729
Ca3 Ca 0.6667 0.8812 0.3271
Ca4 Ca 0.8812 0.6667 0.8271
Re1 Re 0.1914 0.8086 0.2500
Re2 Re 0.4142 0.5858 0.7500
Re3 Re 0.5858 0.4142 0.2500
Re4 Re 0.8086 0.1914 0.7500
N1 N 0.0275 0.2238 0.6261
N2 N 0.1996 0.6392 0.9668
N3 N 0.2238 0.0275 0.1261
N4 N 0.3547 0.4202 0.4728
N5 N 0.3608 0.8004 0.5332
N6 N 0.4202 0.3547 0.9728
N7 N 0.5798 0.6453 0.0272
N8 N 0.6392 0.1996 0.4668
N9 N 0.6453 0.5798 0.5272
N10 N 0.7762 0.9725 0.8739
N11 N 0.8004 0.3608 0.0332
N12 N 0.9725 0.7762 0.3739
```

---

Record 4
The following is a DFT calculation (GGA-PBE) of an optimized crystal structure of CsLiTlSiBr.

Output
The energy comes out at -14.86 eV per formula unit. Its crystal system is monoclinic.

```
data_CsLiTlSiBr
_chemical_formula_sum 'Cs2 Li2 Tl2 Si2 Br2'
_space_group_name_H-M_alt 'P 1'
_space_group_IT_number 1
_cell_length_a 8.0870
_cell_length_b 4.4961
_cell_length_c 9.9034
_cell_angle_alpha 90.00
_cell_angle_beta 109.72
_cell_angle_gamma 90.00
loop_
_space_group_symop_operation_xyz
'x,y,z'
loop_
_atom_site_label
_atom_site_type_symbol
_atom_site_fract_x
_atom_site_fract_y
_atom_site_fract_z
Cs1 Cs 0.0000 0.0000 0.0000
Cs2 Cs 0.5000 0.5000 0.0000
Li1 Li 0.4098 0.0000 0.4111
Li2 Li 0.9098 0.5000 0.4111
Tl1 Tl 0.1961 0.0000 0.6578
Tl2 Tl 0.6961 0.5000 0.6578
Si1 Si 0.0415 0.5000 0.6980
Si2 Si 0.5415 0.0000 0.6980
Br1 Br 0.2875 0.5000 0.2703
Br2 Br 0.7875 0.0000 0.2703
```

---

Record 5
The following is a DFT calculation (GGA-PBE) of an optimized crystal structure of Nd6Er3Tm2In.

Output
The energy comes out at -54.31 eV per formula unit. Its crystal system is monoclinic. For the formation energy, the calculation gives -27 meV per atom.

```
data_Nd6Er3Tm2In
_chemical_formula_sum 'Nd6 Er3 Tm2 In1'
_space_group_name_H-M_alt 'P 1'
_space_group_IT_number 1
_cell_length_a 6.1902
_cell_length_b 6.1902
_cell_length_c 11.7422
_cell_angle_alpha 95.08
_cell_angle_beta 95.08
_cell_angle_gamma 120.09
loop_
_space_group_symop_operation_xyz
'x,y,z'
loop_
_atom_site_label
_atom_site_type_symbol
_atom_site_fract_x
_atom_site_fract_y
_atom_site_fract_z
Nd1 Nd 0.0822 0.4104 0.7476
Nd2 Nd 0.2456 0.2456 0.2513
Nd3 Nd 0.4104 0.0822 0.7476
Nd4 Nd 0.5896 0.9178 0.2524
Nd5 Nd 0.7544 0.7544 0.7487
Nd6 Nd 0.9178 0.5896 0.2524
Er1 Er 0.1677 0.8323 0.0000
Er2 Er 0.5000 0.5000 0.0000
Er3 Er 0.8323 0.1677 0.0000
Tm1 Tm 0.3334 0.6666 0.5000
Tm2 Tm 0.6666 0.3334 0.5000
In1 In 0.0000 0.0000 0.5000
```